Record 1
Crystalline Y2UPbO8 at its relaxed geometry, computed with PBE-GGA.

Output
Size of the total moment ... 0.000 Bohr magnetons per cell
Uncorrected formation energy ... -262.80 kJ per mole of atoms
Calculated density ... 6.888 g/cm³
Calculated volume ... 15.09 Å³ per atom
Electronic total energy ... -8.356 eV/atom

Cell: 7.018 7.333 7.037 Å, 90.00 90.00 90.00°
Space group Cmmm (No. 65)
Unique sites:
Y  0.000  0.000  0.249 [4 per cell]
U  0.000  0.500  0.500 [2 per cell]
Pb  0.000  0.500  0.000 [2 per cell]
O  0.000  0.313  0.268 [8 per cell]
O  0.203  0.000  0.000 [4 per cell]
O  0.206  0.000  0.500 [4 per cell]



Record 2
Crystalline UZnPbO6 at its relaxed geometry, computed with PBE-GGA.

Output
Size of the total moment ... 0.000 Bohr magnetons per cell
Uncorrected formation energy ... -170.67 kJ per mole of atoms
Calculated density ... 8.222 g/cm³
Calculated volume ... 13.61 Å³ per atom
Electronic total energy ... -6.882 eV/atom

Cell: 5.5470 5.5470 9.1954 Å, 90.00 90.00 120.00°
Space group P-31c (No. 163)
Unique sites:
U  0.3333  0.6667  0.2500 [2 per cell]
Zn  0.0000  0.0000  0.0000 [2 per cell]
Pb  0.3333  0.6667  0.7500 [2 per cell]
O  0.0163  0.3418  0.1268 [12 per cell]



Record 3
Crystalline ZrUPbO6 at its relaxed geometry, computed with PBE-GGA.

Output
Size of the total moment ... 0.000 Bohr magnetons per cell
Uncorrected formation energy ... -264.73 kJ per mole of atoms
Calculated density ... 7.082 g/cm³
Calculated volume ... 16.48 Å³ per atom
Electronic total energy ... -8.665 eV/atom

Cell: 5.7303 5.7303 10.4301 Å, 90.00 90.00 120.00°
Space group P-31c (No. 163)
Unique sites:
Zr  0.3333  0.6667  0.2500 [2 per cell]
U  0.3333  0.6667  0.7500 [2 per cell]
Pb  0.0000  0.0000  0.0000 [2 per cell]
O  0.0043  0.3744  0.6452 [12 per cell]



Look up the size of the total moment of the second one.
0.000 Bohr magnetons per cell



Repeat the second record exactly.
Crystalline UZnPbO6 at its relaxed geometry, computed with PBE-GGA.

Output
Size of the total moment ... 0.000 Bohr magnetons per cell
Uncorrected formation energy ... -170.67 kJ per mole of atoms
Calculated density ... 8.222 g/cm³
Calculated volume ... 13.61 Å³ per atom
Electronic total energy ... -6.882 eV/atom

Cell: 5.5470 5.5470 9.1954 Å, 90.00 90.00 120.00°
Space group P-31c (No. 163)
Unique sites:
U  0.3333  0.6667  0.2500 [2 per cell]
Zn  0.0000  0.0000  0.0000 [2 per cell]
Pb  0.3333  0.6667  0.7500 [2 per cell]
O  0.0163  0.3418  0.1268 [12 per cell]



calculated volume of number 2 (UZnPbO6)?
13.61 Å³ per atom



electronic total energy of number 2 (UZnPbO6)?
-6.882 eV/atom